[1]
Computed, not measured: a relaxed BaSr4Tc crystal at the GGA-PBE level of DFT.

space-group type	F-43m, No. 216
formation energy	0.93	eV/atom
total moment	4.1	μB/cell
VASP energy	-2.24	eV/atom

a = 7.5156 Å, b = 7.5156 Å, c = 7.5156 Å
α = 60.00°, β = 60.00°, γ = 60.00°
With the nearest neighbours (Å) after each atom.
Fractional coordinates of all 6 atoms:
Sr (0.3759, 0.8723, 0.3759)  6 Sr 3.73-3.79
Sr (0.3759, 0.3759, 0.8723)  6 Sr 3.73-3.79
Sr (0.8723, 0.3759, 0.3759)  6 Sr 3.73-3.79
Sr (0.3759, 0.3759, 0.3759)  6 Sr 3.73-3.79
Tc (0.7500, 0.7500, 0.7500)  12 Sr 4.40, 4 Ba 4.60
Ba (0.0000, 0.0000, 0.0000)  12 Sr 4.41, 4 Tc 4.60

[2]
Computed, not measured: a relaxed Ba2SrTc crystal at the GGA-PBE level of DFT.

space-group type	P4/mmm, No. 123
formation energy	0.83	eV/atom
total moment	1.4	μB/cell
VASP energy	-3.14	eV/atom

a = 5.3946 Å, b = 5.3946 Å, c = 5.2226 Å
α = 90.00°, β = 90.00°, γ = 90.00°
With the nearest neighbours (Å) after each atom.
Fractional coordinates of all 4 atoms:
Ba (0.0000, 0.0000, 0.0000)  4 Tc 3.75, 4 Sr 3.75, 4 Ba 3.81
Ba (0.5000, 0.5000, 0.0000)  4 Sr 3.75, 4 Tc 3.75, 4 Ba 3.81
Sr (0.5000, 0.0000, 0.5000)  8 Ba 3.75, 4 Tc 3.81
Tc (0.0000, 0.5000, 0.5000)  8 Ba 3.75, 4 Sr 3.81

[3]
Computed, not measured: a relaxed Ba2SrTe crystal at the GGA-PBE level of DFT.

space-group type	Imm2, No. 44
formation energy (no corrections)	-0.72	eV/atom
total moment	0.0	μB/cell
VASP energy	-2.89	eV/atom

a = 8.2042 Å, b = 8.2042 Å, c = 6.2333 Å
α = 67.66°, β = 67.66°, γ = 30.82°
With the nearest neighbours (Å) after each atom.
Fractional coordinates of all 4 atoms:
Te (0.7552, 0.7552, 0.7452)  2 Sr 3.42, 6 Ba 3.56-3.81
Ba (0.2467, 0.2467, 0.2536)  4 Te 3.81, 2 Ba 4.11-4.12, 2 Sr 4.16
Ba (0.0619, 0.0619, 0.9378)  2 Te 3.56
Sr (0.4363, 0.4363, 0.5634)  2 Te 3.42